Below is a relaxed structure of KLiZn3O4, with properties calculated at the PBEsol level.

```
KLiZn3O4
1.0
5.763 -1.655 0.000
5.763 1.655 0.000
-5.681 0.000 5.782
K Li Zn O
1 1 3 4
direct
0.000 0.000 0.000 K
0.186 0.186 0.812 Li
0.382 0.382 0.559 Zn
0.637 0.637 0.466 Zn
0.807 0.807 0.160 Zn
0.245 0.245 0.639 O
0.411 0.411 0.180 O
0.608 0.608 0.826 O
0.774 0.774 0.366 O
```

DFT total energy in eV/cell: -42.49
Energy relative to the elements, uncorrected in kJ/mol of atoms: -146
Crystal system: monoclinic
Total magnetization in μB per cell: 0.000
Calculated volume in Å³/cell: 110
Calculated density in g/cm³: 4.6